Density functional theory data (GGA-PBE) for crystalline SmDy3Th2Sb6 at its relaxed geometry.

POSCAR file:
```
SmDy3Th2Sb6
1.0
9.6684 -2.2252 0.0000
9.6684 2.2252 0.0000
-2.0033 0.0000 8.6354
Sm Dy Th Sb
1 3 2 6
Direct
0.0000 0.0000 0.0000
0.0000 0.0000 0.5000
0.3337 0.3337 0.1661
0.6663 0.6663 0.8339
0.3347 0.3347 0.6690
0.6653 0.6653 0.3310
0.1652 0.1652 0.5880
0.1680 0.1680 0.0780
0.4978 0.4978 0.2531
0.5022 0.5022 0.7469
0.8320 0.8320 0.9220
0.8348 0.8348 0.4120
```

Summary:
VASP energy: -5.9155 eV/atom
Fermi-level density of states: 4.6 states/eV/cell
Total moment: 0.000 μB/f.u.
Formation energy (no corrections): -1243.3 kJ/mol of formula units
Volume: 30.965 Å³ per atom

Density functional theory data (GGA-PBE) for crystalline CeNd5Pt5 at its relaxed geometry.

POSCAR file:
```
CeNd5Pt5
1.0
6.6266 -2.9466 0.0000
6.6266 2.9466 0.0000
-2.6661 0.0000 7.9326
Ce Nd Pt
1 5 5
Direct
0.0000 0.0000 0.0000
0.0000 0.0000 0.5000
0.3253 0.3253 0.6706
0.3289 0.3289 0.1582
0.6711 0.6711 0.8418
0.6747 0.6747 0.3294
0.1597 0.1597 0.8319
0.1626 0.1626 0.3303
0.5000 0.5000 0.0000
0.8374 0.8374 0.6697
0.8403 0.8403 0.1681
```

Summary:
VASP energy: -6.4251 eV/atom
Fermi-level density of states: 10.2 states/eV/cell
Total moment: 0.360 μB/f.u.
Volume: 28.162 Å³ per atom

Density functional theory data (GGA-PBE) for crystalline ThZr2Au at its relaxed geometry.

POSCAR file:
```
ThZr2Au
1.0
3.4968 0.0000 0.0000
0.0000 3.4968 0.0000
0.0000 0.0000 7.7359
Th Zr Au
1 2 1
Direct
0.0000 0.0000 0.0000
0.5000 0.5000 0.2809
0.5000 0.5000 0.7191
0.0000 0.0000 0.5000
```

Summary:
Energy relative to the lowest polymorph listed for this composition: 0.00 eV per formula unit
VASP energy: -7.1833 eV/atom
Fermi-level density of states: 3.0 states/eV/cell
Total moment: 0.000 μB/f.u.
Volume: 23.648 Å³ per atom

Density functional theory data (GGA-PBE) for crystalline TmTiAl at its relaxed geometry.

POSCAR file:
```
TmTiAl
1.0
4.1334 0.0000 0.0000
0.0000 4.1334 0.0000
0.0000 0.0000 7.7250
Tm Ti Al
2 2 2
Direct
0.2500 0.2500 0.1594
0.7500 0.7500 0.8406
0.2500 0.7500 0.5000
0.7500 0.2500 0.5000
0.2500 0.2500 0.7431
0.7500 0.7500 0.2569
```

Summary:
Energy relative to the lowest polymorph listed for this composition: 0.00 eV per formula unit
VASP energy: -5.5842 eV/atom
Fermi-level density of states: 7.2 states/eV/cell
Total moment: 0.000 μB/f.u.
Volume: 21.997 Å³ per atom

Density functional theory data (GGA-PBE) for crystalline Nb2CO at its relaxed geometry.

POSCAR file:
```
Nb2CO
1.0
1.5462 0.8927 5.6424
-1.5462 0.8927 5.6424
0.0000 -1.7854 5.6424
Nb C O
2 1 1
Direct
0.0000 0.0000 0.0000
0.1864 0.1864 0.1864
0.5905 0.5905 0.5905
0.4221 0.4221 0.4221
```

Summary:
Energy relative to the lowest polymorph listed for this composition: 0.00 eV per formula unit
VASP energy: -9.6369 eV/atom
Fermi-level density of states: 2.4 states/eV/cell
Total moment: 0.000 μB/f.u.
Formation energy (no corrections): -407.8 kJ/mol of formula units
Volume: 11.683 Å³ per atom

Density functional theory data (GGA-PBE) for crystalline ScS at its relaxed geometry.

POSCAR file:
```
ScS
1.0
9.4853 0.0000 0.0000
-4.7426 8.2145 0.0000
0.0000 0.0000 4.1887
Sc S
6 6
Direct
0.1327 0.6670 0.2500
0.3330 0.4657 0.2500
0.4657 0.1327 0.7500
0.5343 0.8673 0.2500
0.6670 0.5343 0.7500
0.8673 0.3330 0.7500
0.0289 0.3583 0.2500
0.3294 0.9711 0.2500
0.3583 0.3294 0.7500
0.6417 0.6706 0.2500
0.6706 0.0289 0.7500
0.9711 0.6417 0.7500
```

Summary:
VASP energy: -6.7570 eV/atom
Fermi-level density of states: 7.5 states/eV/cell
Total moment: 0.000 μB/f.u.
Formation energy (no corrections): -294.8 kJ/mol of formula units
Volume: 27.198 Å³ per atom

Density functional theory data (GGA-PBE) for crystalline ThTi4Se8 at its relaxed geometry.

POSCAR file:
```
ThTi4Se8
1.0
3.6417 2.1025 6.8053
-3.6417 2.1025 6.8053
0.0000 -4.2051 6.8053
Th Ti Se
1 4 8
Direct
0.0000 0.0000 0.0000
0.0000 0.0000 0.5000
0.0000 0.5000 0.0000
0.5000 0.0000 0.0000
0.5000 0.5000 0.5000
0.2396 0.2396 0.2396
0.2542 0.7366 0.7366
0.2633 0.2633 0.7458
0.2633 0.7458 0.2633
0.7366 0.2542 0.7366
0.7366 0.7367 0.2542
0.7458 0.2633 0.2633
0.7604 0.7604 0.7604
```

Summary:
VASP energy: -6.4145 eV/atom
Fermi-level density of states: 9.3 states/eV/cell
Total moment: 1.359 μB/f.u.
Formation energy (no corrections): -1593.2 kJ/mol of formula units
Volume: 24.049 Å³ per atom

Density functional theory data (GGA-PBE) for crystalline TiSnBr at its relaxed geometry.

POSCAR file:
```
TiSnBr
1.0
3.3845 0.0000 0.0000
0.0000 3.9919 0.0000
0.0000 0.0000 11.5842
Ti Sn Br
2 2 2
Direct
0.2500 0.2500 0.1889
0.7500 0.7500 0.8111
0.2500 0.2500 0.9198
0.7500 0.7500 0.0802
0.2500 0.7500 0.6450
0.7500 0.2500 0.3550
```

Summary:
VASP energy: -5.0712 eV/atom
Fermi-level density of states: 3.2 states/eV/cell
Total moment: 0.000 μB/f.u.
Formation energy (no corrections): -158.5 kJ/mol of formula units
Volume: 26.085 Å³ per atom

Density functional theory data (GGA-PBE) for crystalline MnBe16Nb2 at its relaxed geometry.

POSCAR file:
```
MnBe16Nb2
1.0
3.7422 2.1606 3.5655
-3.7422 2.1606 3.5655
0.0000 -4.3211 3.5655
Mn Be Nb
1 16 2
Direct
0.0000 0.0000 0.0000
0.0557 0.5487 0.5487
0.1852 0.6136 0.8996
0.1852 0.8996 0.6136
0.2450 0.2450 0.7414
0.2450 0.7414 0.2450
0.3955 0.8969 0.8969
0.5487 0.0557 0.5487
0.5487 0.5487 0.0557
0.6136 0.1852 0.8996
0.6136 0.8996 0.1852
0.7414 0.2450 0.2450
0.7933 0.7933 0.7933
0.8969 0.3955 0.8969
0.8969 0.8969 0.3955
0.8996 0.1852 0.6136
0.8996 0.6136 0.1852
0.2317 0.2317 0.2317
0.5518 0.5518 0.5518
```

Summary:
VASP energy: -4.8688 eV/atom
Fermi-level density of states: 5.7 states/eV/cell
Total moment: 0.001 μB/f.u.
Volume: 9.104 Å³ per atom

Density functional theory data (GGA-PBE) for crystalline UCuSbAu at its relaxed geometry.

POSCAR file:
```
UCuSbAu
1.0
0.0000 3.4960 3.4960
3.4960 0.0000 3.4960
3.4960 3.4960 0.0000
U Cu Sb Au
1 1 1 1
Direct
0.0000 0.0000 0.0000
0.5000 0.5000 0.5000
0.2500 0.2500 0.2500
0.7500 0.7500 0.7500
```

Summary:
VASP energy: -5.7061 eV/atom
Fermi-level density of states: 4.8 states/eV/cell
Total moment: 2.903 μB/f.u.
Formation energy (no corrections): -3.9 kJ/mol of formula units
Volume: 21.364 Å³ per atom

Density functional theory data (GGA-PBE) for crystalline Rb2Tl3Hg4 at its relaxed geometry.

POSCAR file:
```
Rb2Tl3Hg4
1.0
3.4700 -9.2412 0.0000
3.4700 9.2412 0.0000
0.0000 0.0000 9.6655
Rb Tl Hg
4 6 8
Direct
0.1116 0.8884 0.9115
0.3884 0.6116 0.4115
0.6116 0.3884 0.5885
0.8884 0.1116 0.0885
0.0000 0.0000 0.5000
0.0318 0.4682 0.7500
0.4682 0.0318 0.2500
0.5000 0.5000 0.0000
0.5318 0.9682 0.7500
0.9682 0.5318 0.2500
0.1796 0.8204 0.5293
0.1986 0.3014 0.7500
0.3014 0.1986 0.2500
0.3204 0.6796 0.0293
0.6796 0.3204 0.9707
0.6986 0.8014 0.7500
0.8014 0.6986 0.2500
0.8204 0.1796 0.4707
```

Summary:
Energy relative to the lowest polymorph listed for this composition: 0.00 eV per formula unit
VASP energy: -1.2862 eV/atom
Fermi-level density of states: 7.7 states/eV/cell
Total moment: 0.000 μB/f.u.
Volume: 34.438 Å³ per atom

Density functional theory data (GGA-PBE) for crystalline La2CuPb at its relaxed geometry.

POSCAR file:
```
La2CuPb
1.0
-2.3027 2.3027 5.3205
2.3027 -2.3027 5.3205
2.3027 2.3027 -5.3205
La Cu Pb
2 1 1
Direct
0.0000 0.0000 0.0000
0.7500 0.2500 0.5000
0.5000 0.5000 0.0000
0.2500 0.7500 0.5000
```

Summary:
VASP energy: -4.6571 eV/atom
Fermi-level density of states: 4.3 states/eV/cell
Total moment: 0.000 μB/f.u.
Volume: 28.212 Å³ per atom